10
Lattice="-2.9674 2.9674 4.8319 2.9674 -2.9674 4.8319 2.9674 2.9674 -4.8319" Properties=species:S:1:pos:R:3 comment="Rb2NiMoF6, optimized geometry, DFT PBE+U" space_group="No. 139" magnetic_moment_mub_per_atom=0.20 energy_ev_per_cell=-46.787 pbc="T T T"
Rb 2.9674 0.0000 2.4159
Rb 0.0000 2.9674 2.4159
Ni 0.0000 0.0000 0.0000
Mo 0.0000 0.0000 4.8319
F 1.4799 1.4799 0.0000
F 1.4875 -1.4875 4.8319
F 0.0000 0.0000 2.7400
F 0.0000 0.0000 6.9238
F -1.4875 1.4875 4.8319
F 1.4875 1.4875 4.8319